Sr3CrB2O8: optimized geometry, GGA+U.

SG: P-3m1
VASP energy (eV/f.u.): -100.2
Fermi-level density of states (states/eV/cell): 7.30
Total moment (μB/f.u.): 4.03

Cell lengths 5.2617, 5.2617, 6.8164 Å; angles 90.00, 90.00, 120.00 degrees
With the nearest neighbours (Å) after each atom.
Element x y z (fractional)
Sr 0.0000 0.0000 0.0000  6 O 2.72
Sr 0.3333 0.6667 0.6792  7 O 2.43-2.63
Sr 0.6667 0.3333 0.3208  7 O 2.43-2.63
Cr 0.0000 0.0000 0.5000  6 O 2.02
B 0.3333 0.6667 0.2475  4 O 1.44-1.51
B 0.6667 0.3333 0.7525  4 O 1.44-1.51
O 0.1771 0.3542 0.3206  1 B 1.51
O 0.1771 0.8229 0.3206  1 B 1.51
O 0.3333 0.6667 0.0355  1 B 1.44
O 0.3542 0.1771 0.6794  1 B 1.51
O 0.6458 0.8229 0.3206  1 B 1.51
O 0.6667 0.3333 0.9645  1 B 1.44
O 0.8229 0.1771 0.6794  1 B 1.51
O 0.8229 0.6458 0.6794  1 B 1.51